V2AgBiO8: optimized geometry, PBE with a Hubbard U.

```
V2AgBiO8
1.0
-5.334 2.874 -0.561
-0.030 -5.749 -1.996
1.325 -0.173 5.937
O Ag V Bi
8 1 2 1
Cartesian
-4.513 1.226 0.880
-1.679 0.632 1.501
-3.156 1.627 3.482
-1.557 -2.074 -0.119
-4.317 -1.404 -0.691
-1.489 -2.589 3.230
-0.717 -0.027 4.341
-4.036 -0.956 2.333
0.000 0.000 0.000
-3.346 0.632 2.049
-2.682 -1.437 -1.278
-0.694 -3.679 1.332
```

## Properties
Mass density (Mg/m³): 5.262
N(E_F) (states/eV/cell): 8.47
Total energy (eV per cell): -75.704
Crystal system: tetragonal
Calculated volume (Å³/cell): 173
Space group: I-4m2